## one
VASP calculation (PBE-GGA) on a relaxed structure of TbHoErTl.

The structure in CIF format:
```
data_TbHoErTl
_space_group_name_H-M_alt 'P m m m'
_space_group_IT_number 47
_cell_length_a 4.826
_cell_length_b 4.838
_cell_length_c 4.845
_cell_angle_alpha 90.00
_cell_angle_beta 90.00
_cell_angle_gamma 90.00
loop_
_space_group_symop_operation_xyz
'x,y,z'
'-x,-y,-z'
'-x,-y,z'
'x,y,-z'
'x,-y,-z'
'-x,y,z'
'-x,y,-z'
'x,-y,z'
loop_
_atom_site_label
_atom_site_fract_x
_atom_site_fract_y
_atom_site_fract_z
Tb1 0.000 0.000 0.000
Ho1 0.500 0.500 0.000
Er1 0.500 0.000 0.500
Tl1 0.000 0.500 0.500
```

Volume = 113 Å³/f.u.
Total magnetization = 0.77 μB per cell
Crystal system = orthorhombic

## two
VASP calculation (PBE-GGA) on a relaxed structure of TbHoErTl.

The structure in CIF format:
```
data_TbHoErTl
_space_group_name_H-M_alt 'F -4 3 m'
_space_group_IT_number 216
_space_group_name_Hall 'F -4 2 3'
_cell_length_a 7.708
_cell_length_b 7.708
_cell_length_c 7.708
_cell_angle_alpha 90.00
_cell_angle_beta 90.00
_cell_angle_gamma 90.00
loop_
_atom_site_label
_atom_site_fract_x
_atom_site_fract_y
_atom_site_fract_z
Tb1 0.000 0.000 0.000
Ho1 0.000 0.000 0.500
Er1 0.250 0.250 0.750
Tl1 0.250 0.250 0.250
```

Volume = 114 Å³/f.u.
Total magnetization = 5.48 μB per cell
Crystal system = cubic

Tell me which of them is the most stable. Sure, it is one.

## one
VASP calculation (PBE-GGA) on a relaxed structure of HoEr3Tc.

The structure in CIF format:
```
data_HoEr3Tc
_space_group_name_H-M_alt 'P m -3 m'
_space_group_IT_number 221
_space_group_name_Hall '-P 4 2 3'
_cell_length_a 5.335
_cell_length_b 5.335
_cell_length_c 5.335
_cell_angle_alpha 90.00
_cell_angle_beta 90.00
_cell_angle_gamma 90.00
loop_
_atom_site_label
_atom_site_fract_x
_atom_site_fract_y
_atom_site_fract_z
Ho1 0.000 0.000 0.000
Er1 0.000 0.500 0.500
Tc1 0.500 0.500 0.500
```

Volume = 152 Å³/f.u.
Total magnetization = 0.00 μB per cell
Crystal system = cubic

## two
VASP calculation (PBE-GGA) on a relaxed structure of HoEr3Tc.

The structure in CIF format:
```
data_HoEr3Tc
_space_group_name_H-M_alt 'C 1 2/m 1'
_space_group_IT_number 12
_cell_length_a 11.584
_cell_length_b 8.560
_cell_length_c 7.812
_cell_angle_alpha 90.00
_cell_angle_beta 132.32
_cell_angle_gamma 90.00
loop_
_space_group_symop_operation_xyz
'x,y,z'
'-x,-y,-z'
'-x,y,-z'
'x,-y,z'
'x+1/2,y+1/2,z'
'-x+1/2,-y+1/2,-z'
'-x+1/2,y+1/2,-z'
'x+1/2,-y+1/2,z'
loop_
_atom_site_label
_atom_site_fract_x
_atom_site_fract_y
_atom_site_fract_z
Ho1 0.054 0.000 0.347
Er1 0.054 0.500 0.259
Er2 0.250 0.196 0.205
Tc1 0.250 0.000 0.876
```

Volume = 143 Å³/f.u.
Total magnetization = 0.00 μB per cell
Crystal system = monoclinic

Tell me which of them is the most stable. Sure, it is two.

## one
VASP calculation (PBE-GGA) on a relaxed structure of Ho2ErTe3.

The structure in CIF format:
```
data_Ho2ErTe3
_space_group_name_H-M_alt 'I m m m'
_space_group_IT_number 71
_space_group_name_Hall '-I 2 2'
_cell_length_a 4.356
_cell_length_b 6.101
_cell_length_c 12.944
_cell_angle_alpha 90.00
_cell_angle_beta 90.00
_cell_angle_gamma 90.00
loop_
_atom_site_label
_atom_site_fract_x
_atom_site_fract_y
_atom_site_fract_z
Ho1 0.000 0.000 0.169
Er1 0.000 0.000 0.500
Te1 0.000 0.500 0.165
Te2 0.000 0.500 0.500
```

Volume = 172 Å³/f.u.
Total magnetization = 0.00 μB per cell
Crystal system = orthorhombic

## two
VASP calculation (PBE-GGA) on a relaxed structure of Ho2ErTe3.

The structure in CIF format:
```
data_Ho2ErTe3
_space_group_name_H-M_alt 'R -3 c'
_space_group_IT_number 167
_space_group_name_Hall '-R 3 2"c'
_cell_length_a 7.1995
_cell_length_b 7.1995
_cell_length_c 23.1695
_cell_angle_alpha 90.00
_cell_angle_beta 90.00
_cell_angle_gamma 120.00
loop_
_atom_site_label
_atom_site_fract_x
_atom_site_fract_y
_atom_site_fract_z
Ho1 0.0000 0.0000 0.1668
Er1 0.0000 0.0000 0.0000
Te1 0.0000 0.3341 0.2500
```

Volume = 173 Å³/f.u.
Total magnetization = 0.00 μB per cell
Crystal system = trigonal

Tell me which of them is the most stable. Sure, it is two.

## one
VASP calculation (PBE-GGA) on a relaxed structure of Ho3ErTe6.

The structure in CIF format:
```
data_Ho3ErTe6
_space_group_name_H-M_alt 'P 1 21/c 1'
_space_group_IT_number 14
_cell_length_a 7.292
_cell_length_b 8.008
_cell_length_c 13.320
_cell_angle_alpha 90.00
_cell_angle_beta 123.08
_cell_angle_gamma 90.00
loop_
_space_group_symop_operation_xyz
'x,y,z'
'-x,-y,-z'
'-x,y+1/2,-z+1/2'
'x,-y+1/2,z+1/2'
loop_
_atom_site_label
_atom_site_fract_x
_atom_site_fract_y
_atom_site_fract_z
Ho1 0.000 0.000 0.000
Ho2 0.304 0.122 0.751
Er1 0.500 0.000 0.500
Te1 0.084 0.052 0.251
Te2 0.245 0.674 0.082
Te3 0.420 0.175 0.082
```

Volume = 326 Å³/f.u.
Total magnetization = 0.00 μB per cell
Crystal system = monoclinic

## two
VASP calculation (PBE-GGA) on a relaxed structure of Ho3ErTe6.

The structure in CIF format:
```
data_Ho3ErTe6
_space_group_name_H-M_alt 'R -3'
_space_group_IT_number 148
_space_group_name_Hall '-R 3'
_cell_length_a 12.7438
_cell_length_b 12.7438
_cell_length_c 15.4081
_cell_angle_alpha 90.00
_cell_angle_beta 90.00
_cell_angle_gamma 120.00
loop_
_atom_site_label
_atom_site_fract_x
_atom_site_fract_y
_atom_site_fract_z
Ho1 0.0571 0.7823 0.2002
Er1 0.0000 0.0000 0.0000
Er2 0.0000 0.0000 0.5000
Te1 0.0155 0.8068 0.3936
Te2 0.0341 0.8373 0.8762
```

Volume = 361 Å³/f.u.
Total magnetization = 0.00 μB per cell
Crystal system = trigonal

Tell me which of them is the most stable. Sure, it is one.